! TmScTeSe (PBE, relaxed); values from VASP
! SG = R3m, No. 160
! D(E_F) = 0.21 states/eV/cell
! ΔE_f (raw) = -1421 meV/atom
! VASP energy = -5.778 eV/atom
&SYSTEM
  ibrav = 0, nat = 4, ntyp = 4
/
ATOMIC_SPECIES
Tm 168.93 Tm.upf
Sc 44.96 Sc.upf
Te 127.60 Te.upf
Se 78.96 Se.upf
CELL_PARAMETERS angstrom
1.986 1.147 7.083
-1.986 1.147 7.083
0.000 -2.293 7.083
ATOMIC_POSITIONS crystal
Tm 0.000 0.000 0.000
Sc 0.188 0.188 0.188
Te 0.429 0.429 0.429
Se 0.592 0.592 0.592